[1]
Material: Mg2CoOsRh
Method: DFT, PBE
State: optimized geometry

Unit cell a=4.731 b=4.731 c=4.695 alpha=90.00 beta=90.00 gamma=90.00
Fractional positions:
Mg (0.000, 0.500, 0.000)
Mg (0.500, 0.000, 0.000)
Co (0.000, 0.000, 0.500)
Os (0.500, 0.500, 0.500)
Rh (0.500, 0.500, 0.000)

Summary:
Crystal system: tetragonal
Calculated formation energy (kJ per mole of atoms): 108.2

[2]
Material: AcSi7Os3
Method: DFT, PBE
State: optimized geometry

Unit cell a=8.180 b=8.180 c=8.180 alpha=56.56 beta=56.56 gamma=56.56
Fractional positions:
Ac (0.000, 0.000, 0.000)
Ac (0.500, 0.500, 0.500)
Si (0.055, 0.853, 0.670)
Si (0.147, 0.330, 0.945)
Si (0.170, 0.353, 0.555)
Si (0.250, 0.250, 0.250)
Si (0.330, 0.945, 0.147)
Si (0.353, 0.555, 0.170)
Si (0.445, 0.830, 0.647)
Si (0.555, 0.170, 0.353)
Si (0.647, 0.445, 0.830)
Si (0.670, 0.055, 0.853)
Si (0.750, 0.750, 0.750)
Si (0.830, 0.647, 0.445)
Si (0.853, 0.670, 0.055)
Si (0.945, 0.147, 0.330)
Os (0.078, 0.750, 0.422)
Os (0.250, 0.578, 0.922)
Os (0.422, 0.078, 0.750)
Os (0.578, 0.922, 0.250)
Os (0.750, 0.422, 0.078)
Os (0.922, 0.250, 0.578)

Summary:
Crystal system: trigonal
Energy relative to the elements, uncorrected (kcal/mol of atoms): -8.49

[3]
Material: NdAg2Au
Method: DFT, PBE
State: optimized geometry

Unit cell a=4.978 b=4.978 c=4.978 alpha=60.00 beta=60.00 gamma=60.00
Fractional positions:
Nd (0.000, 0.000, 0.000)
Ag (0.250, 0.250, 0.250)
Ag (0.750, 0.750, 0.750)
Au (0.500, 0.500, 0.500)

Summary:
Crystal system: cubic
Calculated formation energy (kJ per mole of atoms): -29.2

[4]
Material: La2NdTm2
Method: DFT, PBE
State: optimized geometry

Unit cell a=9.406 b=9.406 c=3.889 alpha=90.00 beta=90.00 gamma=90.00
Fractional positions:
La (0.128, 0.372, 0.000)
La (0.372, 0.872, 0.000)
La (0.628, 0.128, 0.000)
La (0.872, 0.628, 0.000)
Nd (0.000, 0.000, 0.000)
Nd (0.500, 0.500, 0.000)
Tm (0.171, 0.671, 0.500)
Tm (0.329, 0.171, 0.500)
Tm (0.671, 0.829, 0.500)
Tm (0.829, 0.329, 0.500)

Summary:
Crystal system: tetragonal
Calculated formation energy (kJ per mole of atoms): 10.6

Number 1: final energy -4.65 eV per atom, size of the total moment 2.23 μB/f.u., volume 105.1 Å³/cell. Number 2: final energy -7.26 eV per atom, size of the total moment 0.00 μB/f.u., volume 356.3 Å³/cell. Number 3: final energy -3.74 eV per atom, size of the total moment 0.00 μB/f.u., volume 87.2 Å³/cell. Number 4: final energy -4.60 eV per atom, size of the total moment 0.00 μB/f.u., volume 344.1 Å³/cell.